Density functional theory data (PBE with a Hubbard U) for an optimized crystal structure of BaFe2BiO.

```
5
Lattice="5.2865 0.0000 0.0000 0.0000 4.7889 0.0000 0.0000 0.0000 5.2865" Properties=species:S:1:pos:R:3 pbc="T T T"
Fe 0.0000 0.0000 2.6432
Fe 2.6432 0.0000 0.0000
Bi 0.0000 0.0000 0.0000
O 0.0000 2.3945 0.0000
Ba 2.6432 2.3945 2.6432
```

Properties
As for the symmetry: P4/mmm. The value obtained for the magnetization is 6.1 μB/cell. As for the density of states at the Fermi level: 0.444 states/eV/atom. The volume is 26.77 A^3/atom. As for the density: 5.881 g/cm³. The total energy is -20.30 eV per formula unit.